Entry 1:
A plane-wave DFT calculation with PBE was carried out for a geometry-optimized La5Tm2Tl structure.

Unit cell a=8.8944 b=8.8944 c=8.8944 alpha=157.28 beta=99.48 gamma=85.01
Last column: nearest neighbours and their distance in Å.
Fractional coordinates of all 8 atoms:
La1 0.0000 0.0000 0.0000  10 La 3.50-3.62, 2 Tm 3.54
La2 0.1089 0.3737 0.7352  7 La 3.31-3.70, 1 Tm 3.33
La3 0.3615 0.6263 0.7352  7 La 3.31-3.70, 1 Tm 3.33
La4 0.6385 0.3737 0.2648  7 La 3.31-3.70, 1 Tm 3.33
La5 0.8911 0.6263 0.2648  7 La 3.31-3.70, 1 Tm 3.33
Tm1 0.2700 0.2700 0.0000  7 La 3.33-3.73, 2 Tl 3.49, 2 Tm 3.50
Tm2 0.7300 0.7300 0.0000  7 La 3.33-3.73, 2 Tl 3.49, 2 Tm 3.50
Tl1 0.5000 0.0000 0.5000  4 Tm 3.49, 2 Tl 3.50, 8 La 3.88

Values from the calculation:
Its final energy is -4.50 eV per atom. For the formation energy, the calculation gives -0.237 kcal/mol of atoms. The density of states at the Fermi level comes out at 10.6 states/eV per cell. As for the spin magnetization: 0.00 μB per formula unit.


Entry 2:
A plane-wave DFT calculation with PBE was carried out for a geometry-optimized La14TmTl structure.

Unit cell a=7.3225 b=7.3225 c=10.4403 alpha=90.00 beta=90.00 gamma=90.00
Last column: nearest neighbours and their distance in Å.
Fractional coordinates of all 16 atoms:
La1 0.0000 0.0000 0.0000  12 La 3.66-3.69
La2 0.0000 0.5000 0.0000  12 La 3.66-3.71
La3 0.0000 0.5000 0.5000  8 La 3.64, 2 Tl 3.66, 2 Tm 3.66
La4 0.2469 0.2469 0.2550  10 La 3.62-3.74, 1 Tl 3.62, 1 Tm 3.66
La5 0.2469 0.2469 0.7450  10 La 3.62-3.74, 1 Tl 3.62, 1 Tm 3.66
La6 0.2469 0.7531 0.2550  10 La 3.62-3.74, 1 Tl 3.62, 1 Tm 3.66
La7 0.2469 0.7531 0.7450  10 La 3.62-3.74, 1 Tl 3.62, 1 Tm 3.66
La8 0.5000 0.0000 0.0000  12 La 3.66-3.71
La9 0.5000 0.0000 0.5000  8 La 3.64, 2 Tl 3.66, 2 Tm 3.66
La10 0.5000 0.5000 0.0000  12 La 3.66-3.74
La11 0.7531 0.2469 0.2550  10 La 3.62-3.74, 1 Tl 3.62, 1 Tm 3.66
La12 0.7531 0.2469 0.7450  10 La 3.62-3.74, 1 Tl 3.62, 1 Tm 3.66
La13 0.7531 0.7531 0.2550  10 La 3.62-3.74, 1 Tl 3.62, 1 Tm 3.66
La14 0.7531 0.7531 0.7450  10 La 3.62-3.74, 1 Tl 3.62, 1 Tm 3.66
Tm1 0.5000 0.5000 0.5000  12 La 3.66
Tl1 0.0000 0.0000 0.5000  12 La 3.62-3.66

Values from the calculation:
Its final energy is -4.79 eV per atom. For the formation energy, the calculation gives -1.089 kcal/mol of atoms. The density of states at the Fermi level comes out at 21.3 states/eV per cell. As for the spin magnetization: 0.00 μB per formula unit.


Entry 3:
A plane-wave DFT calculation with PBE was carried out for a geometry-optimized LaTm6Tl4 structure.

Unit cell a=9.9857 b=9.9857 c=3.7655 alpha=90.00 beta=90.00 gamma=120.00
Last column: nearest neighbours and their distance in Å.
Fractional coordinates of all 11 atoms:
La1 0.0000 0.0000 0.0000  6 Tl 3.44, 2 La 3.77, 6 Tm 3.82
Tm1 0.1920 0.3840 0.5000  4 Tl 3.09-3.13
Tm2 0.1920 0.8080 0.5000  4 Tl 3.09-3.13
Tm3 0.5376 0.0752 0.0000  5 Tl 3.22-3.53
Tm4 0.5376 0.4624 0.0000  5 Tl 3.22-3.53
Tm5 0.6160 0.8080 0.5000  4 Tl 3.09-3.13
Tm6 0.9248 0.4624 0.0000  5 Tl 3.22-3.53
Tl1 0.3333 0.6667 0.0000  6 Tm 3.09
Tl2 0.3336 0.1668 0.5000  6 Tm 3.13-3.22, 2 La 3.44
Tl3 0.8332 0.1668 0.5000  6 Tm 3.13-3.22, 2 La 3.44
Tl4 0.8332 0.6664 0.5000  6 Tm 3.13-3.22, 2 La 3.44

Values from the calculation:
Its final energy is -3.97 eV per atom. For the formation energy, the calculation gives -5.050 kcal/mol of atoms. The density of states at the Fermi level comes out at 9.4 states/eV per cell. As for the spin magnetization: 2.41 μB per formula unit.


Entry 4:
A plane-wave DFT calculation with PBE was carried out for a geometry-optimized LaTm4Tl structure.

Unit cell a=8.2718 b=8.2718 c=6.3940 alpha=99.57 beta=99.57 gamma=117.04
Last column: nearest neighbours and their distance in Å.
Fractional coordinates of all 12 atoms:
La1 0.0884 0.9116 0.7500  10 Tm 3.51-3.90
La2 0.9116 0.0884 0.2500  10 Tm 3.51-3.90
Tm1 0.0865 0.3468 0.8792  3 Tm 3.22-3.58, 2 Tl 3.36-3.37, 2 La 3.51-3.57
Tm2 0.2143 0.5945 0.4598  2 Tl 3.22, 5 Tm 3.22-3.57, 1 La 3.59
Tm3 0.3468 0.0865 0.3792  3 Tm 3.22-3.58, 2 Tl 3.36-3.37, 2 La 3.51-3.57
Tm4 0.4055 0.7857 0.0402  2 Tl 3.22, 5 Tm 3.22-3.57, 1 La 3.59
Tm5 0.5945 0.2143 0.9598  2 Tl 3.22, 5 Tm 3.22-3.57, 1 La 3.59
Tm6 0.6532 0.9135 0.6208  3 Tm 3.22-3.58, 2 Tl 3.36-3.37, 2 La 3.51-3.57
Tm7 0.7857 0.4055 0.5402  2 Tl 3.22, 5 Tm 3.22-3.57, 1 La 3.59
Tm8 0.9135 0.6532 0.1208  3 Tm 3.22-3.58, 2 Tl 3.36-3.37, 2 La 3.51-3.57
Tl1 0.5001 0.4999 0.2500  2 Tl 3.20, 8 Tm 3.22-3.37
Tl2 0.4999 0.5001 0.7500  2 Tl 3.20, 8 Tm 3.22-3.37

Values from the calculation:
Its final energy is -4.21 eV per atom. For the formation energy, the calculation gives -0.227 kcal/mol of atoms. As for the polymorph energy (0 for the lowest one): 83.2 meV/atom. The density of states at the Fermi level comes out at 13.5 states/eV per cell. As for the spin magnetization: 0.00 μB per formula unit.


Entry 5:
A plane-wave DFT calculation with PBE was carried out for a geometry-optimized La6Tm2Tl structure.

Unit cell a=10.2618 b=10.2618 c=10.2618 alpha=121.75 beta=62.02 gamma=160.56
Last column: nearest neighbours and their distance in Å.
Fractional coordinates of all 9 atoms:
La1 0.0184 0.3380 0.3197  4 La 3.22-3.46
La2 0.0184 0.6987 0.6803  4 La 3.22-3.46
La3 0.1616 0.1692 0.3308  4 La 3.22-3.46
La4 0.1616 0.8308 0.9923  4 La 3.22-3.46
La5 0.8384 0.1692 0.0077  4 La 3.22-3.46
La6 0.8384 0.8308 0.6692  4 La 3.22-3.46
Tm1 0.3649 0.0189 0.3460  2 Tm 3.46, 10 La 3.66-3.76
Tm2 0.6729 0.0189 0.6540  2 Tm 3.46, 10 La 3.66-3.76
Tl1 0.5084 0.5084 0.0000  2 Tl 3.46, 12 La 3.62-3.75

Values from the calculation:
Its final energy is -4.52 eV per atom. For the formation energy, the calculation gives 0.612 kcal/mol of atoms. The density of states at the Fermi level comes out at 16.4 states/eV per cell. As for the spin magnetization: 0.00 μB per formula unit.


Entry 6:
A plane-wave DFT calculation with PBE was carried out for a geometry-optimized LaTmTl structure.

Unit cell a=5.3194 b=5.3194 c=3.8596 alpha=90.00 beta=90.00 gamma=120.00
Last column: nearest neighbours and their distance in Å.
Fractional coordinates of all 3 atoms:
La1 0.0000 0.0000 0.0000  6 Tl 3.59-3.67, 6 Tm 3.61-3.65, 2 La 3.86
Tm1 0.3333 0.6667 0.4898  3 Tl 3.07
Tl1 0.6667 0.3333 0.5203  3 Tm 3.07

Values from the calculation:
Its final energy is -4.11 eV per atom. For the formation energy, the calculation gives -4.364 kcal/mol of atoms. As for the polymorph energy (0 for the lowest one): 63.2 meV/atom. The density of states at the Fermi level comes out at 2.0 states/eV per cell. As for the spin magnetization: 0.00 μB per formula unit.


Entry 7:
A plane-wave DFT calculation with PBE was carried out for a geometry-optimized La5TmTl6 structure.

Unit cell a=5.5830 b=7.8848 c=9.6419 alpha=114.13 beta=106.30 gamma=90.01
Last column: nearest neighbours and their distance in Å.
Fractional coordinates of all 12 atoms:
La1 0.0000 0.0000 0.0000  8 Tl 3.38-3.52
La2 0.3239 0.3241 0.6477  8 Tl 3.37-3.46
La3 0.3376 0.8371 0.6742  8 Tl 3.47-3.51, 1 La 3.86
La4 0.6624 0.1629 0.3258  8 Tl 3.47-3.51, 1 La 3.86
La5 0.6761 0.6759 0.3523  8 Tl 3.37-3.46
Tm1 0.0000 0.5000 0.0000  8 Tl 3.27-3.33
Tl1 0.1601 0.4220 0.3201  1 Tm 3.27, 7 La 3.37-3.51
Tl2 0.1602 0.8978 0.3196  1 Tm 3.27, 7 La 3.38-3.51
Tl3 0.4988 0.2715 0.9999  2 Tm 3.32-3.33, 6 La 3.46-3.52, 1 Tl 3.60
Tl4 0.5012 0.7285 0.0001  2 Tm 3.32-3.33, 6 La 3.46-3.52, 1 Tl 3.60
Tl5 0.8398 0.1022 0.6804  1 Tm 3.27, 7 La 3.38-3.51
Tl6 0.8399 0.5780 0.6799  1 Tm 3.27, 7 La 3.37-3.51

Values from the calculation:
Its final energy is -4.01 eV per atom. For the formation energy, the calculation gives -9.241 kcal/mol of atoms. The density of states at the Fermi level comes out at 12.8 states/eV per cell. As for the spin magnetization: 0.00 μB per formula unit.


Entry 8:
A plane-wave DFT calculation with PBE was carried out for a geometry-optimized La5TmTl4 structure.

Unit cell a=3.7607 b=3.7607 c=22.7012 alpha=90.00 beta=90.00 gamma=90.00
Last column: nearest neighbours and their distance in Å.
Fractional coordinates of all 10 atoms:
La1 0.0000 0.0000 0.0000  8 Tl 3.48, 4 La 3.76
La2 0.0000 0.0000 0.1965  8 Tl 3.47, 4 La 3.76
La3 0.0000 0.0000 0.3908  4 Tl 3.44, 4 Tm 3.64, 4 La 3.76
La4 0.0000 0.0000 0.6092  4 Tl 3.44, 4 Tm 3.64, 4 La 3.76
La5 0.0000 0.0000 0.8035  8 Tl 3.47, 4 La 3.76
Tm1 0.5000 0.5000 0.5000  8 La 3.64, 4 Tm 3.76
Tl1 0.5000 0.5000 0.0986  8 La 3.47-3.48, 4 Tl 3.76
Tl2 0.5000 0.5000 0.2945  8 La 3.44-3.47, 4 Tl 3.76
Tl3 0.5000 0.5000 0.7055  8 La 3.44-3.47, 4 Tl 3.76
Tl4 0.5000 0.5000 0.9014  8 La 3.47-3.48, 4 Tl 3.76

Values from the calculation:
Its final energy is -4.17 eV per atom. For the formation energy, the calculation gives -7.170 kcal/mol of atoms. The density of states at the Fermi level comes out at 15.2 states/eV per cell. As for the spin magnetization: 0.02 μB per formula unit.


Entry 9:
A plane-wave DFT calculation with PBE was carried out for a geometry-optimized La5TmTl2 structure.

Unit cell a=5.6592 b=5.6592 c=20.5248 alpha=90.00 beta=90.00 gamma=120.00
Last column: nearest neighbours and their distance in Å.
Fractional coordinates of all 16 atoms:
La1 0.0000 0.0000 0.1610  3 Tl 3.51, 7 La 3.65-3.86, 3 Tm 3.74
La2 0.0000 0.0000 0.3390  3 Tl 3.51, 7 La 3.65-3.86, 3 Tm 3.74
La3 0.0000 0.0000 0.6610  3 Tl 3.51, 7 La 3.65-3.86, 3 Tm 3.74
La4 0.0000 0.0000 0.8390  3 Tl 3.51, 7 La 3.65-3.86, 3 Tm 3.74
La5 0.3333 0.6667 0.0612  4 Tl 3.29-3.36
La6 0.3333 0.6667 0.2500  3 Tm 3.27
La7 0.3333 0.6667 0.4388  4 Tl 3.29-3.36
La8 0.6667 0.3333 0.5612  4 Tl 3.29-3.36
La9 0.6667 0.3333 0.7500  3 Tm 3.27
La10 0.6667 0.3333 0.9388  4 Tl 3.29-3.36
Tm1 0.3333 0.6667 0.7500  2 Tl 3.10, 3 La 3.27
Tm2 0.6667 0.3333 0.2500  2 Tl 3.10, 3 La 3.27
Tl1 0.3333 0.6667 0.5991  1 Tm 3.10, 4 La 3.29-3.36
Tl2 0.3333 0.6667 0.9009  1 Tm 3.10, 4 La 3.29-3.36
Tl3 0.6667 0.3333 0.0991  1 Tm 3.10, 4 La 3.29-3.36
Tl4 0.6667 0.3333 0.4009  1 Tm 3.10, 4 La 3.29-3.36

Values from the calculation:
Its final energy is -4.34 eV per atom. For the formation energy, the calculation gives -2.562 kcal/mol of atoms. The density of states at the Fermi level comes out at 28.2 states/eV per cell. As for the spin magnetization: 0.00 μB per formula unit.


Entry 10:
A plane-wave DFT calculation with PBE was carried out for a geometry-optimized LaTm3Tl4 structure.

Unit cell a=10.8094 b=7.6211 c=5.4016 alpha=90.00 beta=90.00 gamma=90.00
Last column: nearest neighbours and their distance in Å.
Fractional coordinates of all 16 atoms:
La1 0.0000 0.0000 0.0000  8 Tl 3.36
La2 0.5000 0.0000 0.0000  8 Tl 3.36
Tm1 0.0000 0.5000 0.0000  8 Tl 3.25
Tm2 0.2500 0.0000 0.4988  8 Tl 3.36
Tm3 0.2500 0.5000 0.4986  8 Tl 3.25
Tm4 0.5000 0.5000 0.0000  8 Tl 3.25
Tm5 0.7500 0.0000 0.5012  8 Tl 3.36
Tm6 0.7500 0.5000 0.5014  8 Tl 3.25
Tl1 0.0000 0.2624 0.5000  6 Tm 3.25-3.36, 2 La 3.36, 1 Tl 3.62
Tl2 0.0000 0.7376 0.5000  6 Tm 3.25-3.36, 2 La 3.36, 1 Tl 3.62
Tl3 0.2500 0.2625 0.9984  6 Tm 3.25-3.36, 2 La 3.36, 1 Tl 3.62
Tl4 0.2500 0.7375 0.9984  6 Tm 3.25-3.36, 2 La 3.36, 1 Tl 3.62
Tl5 0.5000 0.2624 0.5000  6 Tm 3.25-3.36, 2 La 3.36, 1 Tl 3.62
Tl6 0.5000 0.7376 0.5000  6 Tm 3.25-3.36, 2 La 3.36, 1 Tl 3.62
Tl7 0.7500 0.2625 0.0016  6 Tm 3.25-3.36, 2 La 3.36, 1 Tl 3.62
Tl8 0.7500 0.7375 0.0016  6 Tm 3.25-3.36, 2 La 3.36, 1 Tl 3.62

Values from the calculation:
Its final energy is -3.80 eV per atom. For the formation energy, the calculation gives -7.373 kcal/mol of atoms. The density of states at the Fermi level comes out at 12.7 states/eV per cell. As for the spin magnetization: 0.00 μB per formula unit.